# 1
8
Lattice="6.8822 0.0000 0.0000 -3.4411 5.9602 0.0000 0.0000 0.0000 5.9074" Properties=species:S:1:pos:R:3 comment="HoBi3, optimized geometry, DFT PBE" crystal_system=hexagonal delta_e_f_kj_per_mol_atoms=-30 dos_at_fermi_per_ev_atom=0.4958 pbc="T T T"
Ho 0.0000 3.9735 1.4768
Ho 3.4411 1.9867 4.4305
Bi 0.0000 2.0759 4.4305
Bi -1.6433 4.9222 4.4305
Bi 1.7978 1.0380 1.4768
Bi 1.6433 4.9222 4.4305
Bi 5.0844 1.0380 1.4768
Bi 3.4411 3.8843 1.4768

---

# 2
9
Lattice="-2.1409 5.5041 5.5211 2.1409 -5.5041 5.5211 2.1409 5.5041 -5.5211" Properties=species:S:1:pos:R:3 comment="Ho5Bi4, optimized geometry, DFT PBE" crystal_system=orthorhombic delta_e_f_kj_per_mol_atoms=-53 dos_at_fermi_per_ev_atom=0.6775 pbc="T T T"
Ho 0.0000 0.0000 0.0000
Ho 0.0000 0.0000 3.5224
Ho 0.0000 3.5261 0.0000
Ho 0.0000 7.4820 0.0000
Ho 0.0000 0.0000 7.5198
Bi 2.1409 1.7966 -1.7940
Bi 2.1409 1.7966 1.7940
Bi 0.0000 3.7074 3.7271
Bi 0.0000 3.7074 7.3151

---

# 3
8
Lattice="6.6060 0.0000 0.0000 0.0000 4.0393 0.0000 -1.7401 0.0000 9.2580" Properties=species:S:1:pos:R:3 comment="Ho3Bi, optimized geometry, DFT PBE" crystal_system=monoclinic delta_e_f_kj_per_mol_atoms=-32 dos_at_fermi_per_ev_atom=1.1575 pbc="T T T"
Ho -0.0486 1.0098 3.4416
Ho -0.0636 1.0098 8.3914
Ho 1.5789 3.0295 5.8668
Ho 3.2869 1.0098 3.3913
Ho 4.9294 3.0295 0.8666
Ho 4.9145 3.0295 5.8165
Bi 1.6120 3.0295 1.5016
Bi 3.2539 1.0098 7.7564

---

# 4
16
Lattice="9.1349 0.0000 0.0000 -4.5674 7.9110 0.0000 0.0000 0.0000 6.3471" Properties=species:S:1:pos:R:3 comment="Ho5Bi3, optimized geometry, DFT PBE" crystal_system=hexagonal delta_e_f_kj_per_mol_atoms=-64 dos_at_fermi_per_ev_atom=1.0169 pbc="T T T"
Ho -1.1097 1.9221 1.5868
Ho -3.4577 5.9890 4.7603
Ho 2.2194 0.0000 1.5868
Ho 1.1097 1.9221 4.7603
Ho 0.0000 5.2740 0.0000
Ho 0.0000 5.2740 3.1735
Ho 4.5674 2.6370 0.0000
Ho 4.5674 2.6370 3.1735
Ho 6.9154 0.0000 4.7603
Ho 3.4577 5.9890 1.5868
Bi -1.7789 3.0811 4.7603
Bi -2.7886 4.8299 1.5868
Bi 3.5577 0.0000 4.7603
Bi 1.7789 3.0811 1.5868
Bi 5.5771 0.0000 1.5868
Bi 2.7886 4.8299 4.7603

---

# 5
12
Lattice="12.0794 0.0000 0.0000 0.0000 4.5017 0.0000 -2.7466 0.0000 6.5147" Properties=species:S:1:pos:R:3 comment="Ho2Bi, optimized geometry, DFT PBE" crystal_system=monoclinic delta_e_f_kj_per_mol_atoms=-45 dos_at_fermi_per_ev_atom=0.8998 pbc="T T T"
Ho -0.5626 0.0000 1.7528
Ho 1.8212 2.2508 0.6828
Ho 1.4719 0.0000 5.8320
Ho 3.8557 2.2508 4.7619
Ho 5.4771 2.2508 1.7528
Ho 7.8609 0.0000 0.6828
Ho 7.5116 2.2508 5.8320
Ho 9.8954 0.0000 4.7619
Bi 0.2532 2.2508 3.9910
Bi 3.0399 0.0000 2.5238
Bi 6.2929 0.0000 3.9910
Bi 9.0796 2.2508 2.5238

---

# 6
12
Lattice="4.2077 0.0000 0.0000 -2.1038 3.6440 0.0000 0.0000 0.0000 24.1993" Properties=species:S:1:pos:R:3 comment="Ho2BiI, optimized geometry, DFT PBE" crystal_system=trigonal dos_at_fermi_per_ev_atom=0.3327 raw_formation_energy_ev_per_atom=-0.684 pbc="T T T"
Ho 0.0000 0.0000 0.0000
Ho 0.0000 0.0000 4.3851
Ho 0.0000 2.4293 16.1329
Ho 0.0000 2.4293 20.5179
Ho 2.1038 1.2147 8.0664
Ho 2.1038 1.2147 12.4515
Bi 0.0000 0.0000 14.2697
Bi 0.0000 2.4293 6.2033
Bi 2.1038 1.2147 22.3361
I 0.0000 0.0000 18.3679
I 0.0000 2.4293 10.3015
I 2.1038 1.2147 2.2350